Entry 1:
Here is a relaxed structure of TcSeIO2 from the Alexandria database. Energies are from GGA-PBEsol.

formation energy from raw total energies: 635 meV per atom
density of states at the Fermi level: 0.71 states/eV per atom

Cell: 3.8388 3.8388 6.1191 Å, 90.00 90.00 90.00°
With the nearest neighbours (Å) after each atom.
Space group P4/mmm (No. 123)
Unique sites:
1 Tc 0.0000 0.0000 0.0000  4 I 2.71
2 Se 0.5000 0.5000 0.5000  4 O 1.92
3 I 0.5000 0.5000 0.0000  4 Tc 2.71
4 O 0.0000 0.5000 0.5000  2 Se 1.92

***

Entry 2:
Here is a relaxed structure of Pr2MoC2 from the Alexandria database. Energies are from GGA-PBEsol.

ΔH_f (0 K): -0.209 eV per atom
density of states at the Fermi level: 0.44 states/eV per atom

Cell: 5.7931 5.7931 10.3663 Å, 90.00 90.00 90.00°
With the nearest neighbours (Å) after each atom.
Space group P4_2/mnm (No. 136)
Unique sites:
1 Pr 0.1965 0.1965 0.1557  4 C 2.49-2.65
2 Mo 0.1757 0.1757 0.5000  4 C 2.06-2.14
3 C 0.0000 0.0000 0.3584  2 Mo 2.06
4 C 0.0000 0.5000 0.0000  2 Mo 2.14

***

Entry 3:
Here is a relaxed structure of Cs2BI from the Alexandria database. Energies are from GGA-PBEsol.

formation energy from raw total energies: 383 meV per atom
density of states at the Fermi level: 1.81 states/eV per atom

Cell: 8.7096 8.7096 8.7096 Å, 90.00 90.00 90.00°
With the nearest neighbours (Å) after each atom.
Space group Fm-3m (No. 225)
Unique sites:
1 Cs 0.2500 0.2500 0.2500  4 B 3.77, 4 I 3.77
2 B 0.0000 0.0000 0.0000  8 Cs 3.77
3 I 0.0000 0.0000 0.5000  8 Cs 3.77